No. 1
This record from Alexandria describes a relaxed AlZn6Ga5 crystal. The functional is PBE.

The structure in POSCAR format:
```
AlZn6Ga5
1.0
4.514 1.122 1.504
1.155 9.741 0.385
0.858 0.561 4.950
Zn Al Ga
6 1 5
Direct
0.839 0.752 0.329
0.832 0.248 0.329
0.501 0.248 0.000
0.499 0.752 0.000
0.168 0.752 0.671
0.161 0.248 0.671
0.000 0.000 0.000
0.667 0.500 0.665
0.333 0.000 0.334
0.000 0.500 0.000
0.667 0.000 0.666
0.333 0.500 0.335
```

Spin magnetization in μB per atom: 0.0000
Uncorrected energy in Ry per atom: -0.160
Calculated formation energy in eV/f.u.: 0.42
D(E_F) in states/eV/atom: 0.249

---

No. 2
This record from Alexandria describes a relaxed BeCr2S2 crystal. The functional is PBE.

The structure in POSCAR format:
```
BeCr2S2
1.0
-5.563 -1.794 2.651
1.003 -6.025 -1.972
1.409 -0.600 2.550
Cr S Be
4 4 2
Direct
0.152 0.652 0.500
0.652 0.848 0.500
0.848 0.348 0.500
0.348 0.152 0.500
0.345 0.845 0.000
0.845 0.655 0.000
0.655 0.155 0.000
0.155 0.345 0.000
0.000 0.000 0.000
0.500 0.500 0.000
```

Spin magnetization in μB per atom: 0.7045
Uncorrected energy in Ry per atom: -0.450
Formation energy from raw total energies in eV per atom: 0.118
Polymorph energy (0 for the lowest one) in kJ/mol of formula units: 12
D(E_F) in states/eV/atom: 0.667

---

No. 3
This record from Alexandria describes a relaxed MgNiSn3 crystal. The functional is PBE.

The structure in POSCAR format:
```
MgNiSn3
1.0
5.301 0.000 0.000
0.000 5.301 0.000
0.000 0.000 5.301
Ni Mg Sn
1 1 3
Direct
0.500 0.500 0.500
0.000 0.000 0.000
0.000 0.500 0.000
0.000 0.000 0.500
0.500 0.000 0.000
```

Spin magnetization in μB per atom: 0.0165
Uncorrected energy in Ry per atom: -0.216
Calculated formation energy in eV/f.u.: 4.72
Polymorph energy (0 for the lowest one) in kJ/mol of formula units: 507
D(E_F) in states/eV/atom: 0.780

---

No. 4
This record from Alexandria describes a relaxed POsW2 crystal. The functional is PBE.

The structure in POSCAR format:
```
POsW2
1.0
-2.724 -2.618 -1.310
1.919 -1.143 -1.707
1.994 -3.695 3.237
P Os W
1 1 2
Direct
0.500 0.500 0.500
0.500 0.500 0.000
0.000 0.074 0.741
0.000 0.926 0.259
```

Spin magnetization in μB per atom: 0.0000
Uncorrected energy in Ry per atom: -0.771
Calculated formation energy in eV/f.u.: 0.56
D(E_F) in states/eV/atom: 0.539